TiFeC2F after structural relaxation, computed with PBE with a Hubbard U.

Results
Symmetry: P4/mmm, No. 123
DFT total energy (eV/atom): -6.30
Size of the total moment (Bohr magnetons per cell): 3.84

Cell lengths 4.037, 4.037, 3.923 Å; angles 90.00, 90.00, 90.00 degrees
Site moments in Bohr magnetons follow the coordinates.
Fractional positions:
Fe 0.500 0.500 0.500  3.78
Ti 0.000 0.000 0.000  0.04
C 0.000 0.500 0.000  -0.02
F 0.000 0.000 0.500  0.02
C 0.500 0.000 0.000  -0.02